## NaCo2Ge2 (PBE)

Data for a relaxed structure of NaCo2Ge2.

energy of formation = -0.156 eV per atom
crystal system = tetragonal
M_tot = 0.00 μB per formula unit
energy relative to the lowest polymorph listed for this composition = 0 meV/atom

Cell lengths 3.918, 3.918, 10.392 Å; angles 90.00, 90.00, 90.00 degrees
Space group I4/mmm (No. 139)
Inequivalent atoms, fractional coordinates:
1 Na 0.000 0.000 0.000 [2 per cell]
2 Co 0.000 0.500 0.250 [4 per cell]
3 Ge 0.000 0.000 0.371 [4 per cell]